Version one
# Cd2FeBr

A crystal of Cd2FeBr relaxed with PBEsol (meta-GGA SCAN, Alexandria).

Computed properties:
Density (g/cm³): 7.2
DOS at the Fermi energy (states/eV/f.u.): 3.85
Total magnetization (μB per atom): 0.598

Geometry as CIF:
```
data_Cd2FeBr
_symmetry_space_group_name_H-M 'F m -3 m'
_symmetry_Int_Tables_number 225
_symmetry_space_group_name_Hall '-F 4 2 3'
_cell_length_a 6.9384
_cell_length_b 6.9384
_cell_length_c 6.9384
_cell_angle_alpha 90.00
_cell_angle_beta 90.00
_cell_angle_gamma 90.00
loop_
_atom_site_label
_atom_site_type_symbol
_atom_site_fract_x
_atom_site_fract_y
_atom_site_fract_z
Cd1 Cd 0.2500 0.2500 0.2500
Fe1 Fe 0.0000 0.0000 0.0000
Br1 Br 0.0000 0.0000 0.5000
```

Version two
# Cd2FeBr

A crystal of Cd2FeBr relaxed with PBEsol (meta-GGA SCAN, Alexandria).

Computed properties:
Density (g/cm³): 7.5
DOS at the Fermi energy (states/eV/f.u.): 0.26
Total magnetization (μB per atom): 0.737

Geometry as CIF:
```
data_Cd2FeBr
_symmetry_space_group_name_H-M 'I -4 m 2'
_symmetry_Int_Tables_number 119
_symmetry_space_group_name_Hall 'I -4 -2'
_cell_length_a 4.1162
_cell_length_b 4.1162
_cell_length_c 9.4427
_cell_angle_alpha 90.00
_cell_angle_beta 90.00
_cell_angle_gamma 90.00
loop_
_atom_site_label
_atom_site_type_symbol
_atom_site_fract_x
_atom_site_fract_y
_atom_site_fract_z
Cd1 Cd 0.0000 0.0000 0.0000
Cd2 Cd 0.0000 0.5000 0.2500
Fe1 Fe 0.0000 0.0000 0.5000
Br1 Br 0.0000 0.5000 0.7500
```

Version three
# Cd2FeBr

A crystal of Cd2FeBr relaxed with PBEsol (meta-GGA SCAN, Alexandria).

Computed properties:
Density (g/cm³): 7.7
DOS at the Fermi energy (states/eV/f.u.): 1.05
Total magnetization (μB per atom): 0.731

Geometry as CIF:
```
data_Cd2FeBr
_symmetry_space_group_name_H-M 'C m m m'
_symmetry_Int_Tables_number 65
_symmetry_space_group_name_Hall '-C 2 2'
_cell_length_a 5.6678
_cell_length_b 8.6057
_cell_length_c 3.1959
_cell_angle_alpha 90.00
_cell_angle_beta 90.00
_cell_angle_gamma 90.00
loop_
_atom_site_label
_atom_site_type_symbol
_atom_site_fract_x
_atom_site_fract_y
_atom_site_fract_z
Cd1 Cd 0.2500 0.2500 0.0000
Fe1 Fe 0.0000 0.0000 0.5000
Br1 Br 0.0000 0.5000 0.5000
```

Stability check: which of them is least stable? version one.

Version one
# Cd2HgBr2

A crystal of Cd2HgBr2 relaxed with PBEsol (meta-GGA SCAN, Alexandria).

Computed properties:
Density (g/cm³): 7.0
Total magnetization (μB per atom): 0.000

Geometry as CIF:
```
data_Cd2HgBr2
_symmetry_space_group_name_H-M 'I 4/m m m'
_symmetry_Int_Tables_number 139
_symmetry_space_group_name_Hall '-I 4 2'
_cell_length_a 5.0245
_cell_length_b 5.0245
_cell_length_c 11.0285
_cell_angle_alpha 90.00
_cell_angle_beta 90.00
_cell_angle_gamma 90.00
loop_
_atom_site_label
_atom_site_type_symbol
_atom_site_fract_x
_atom_site_fract_y
_atom_site_fract_z
Cd1 Cd 0.0000 0.0000 0.1201
Hg1 Hg 0.0000 0.0000 0.5000
Br1 Br 0.0000 0.5000 0.2500
```

Version two
# Cd2HgBr2

A crystal of Cd2HgBr2 relaxed with PBEsol (meta-GGA SCAN, Alexandria).

Computed properties:
Density (g/cm³): 6.9
DOS at the Fermi energy (states/eV/f.u.): 0.00
Total magnetization (μB per atom): 0.000

Geometry as CIF:
```
data_Cd2HgBr2
_symmetry_space_group_name_H-M 'P 4/m b m'
_symmetry_Int_Tables_number 127
_symmetry_space_group_name_Hall '-P 4 2ab'
_cell_length_a 8.2773
_cell_length_b 8.2773
_cell_length_c 4.1222
_cell_angle_alpha 90.00
_cell_angle_beta 90.00
_cell_angle_gamma 90.00
loop_
_atom_site_label
_atom_site_type_symbol
_atom_site_fract_x
_atom_site_fract_y
_atom_site_fract_z
Cd1 Cd 0.1131 0.3869 0.0000
Hg1 Hg 0.0000 0.0000 0.0000
Br1 Br 0.2357 0.7357 0.5000
```

Stability check: which of them is least stable? version two.

Version one
# Cd2InBr

A crystal of Cd2InBr relaxed with PBEsol (meta-GGA SCAN, Alexandria).

Computed properties:
Density (g/cm³): 7.2
DOS at the Fermi energy (states/eV/f.u.): 1.10
Total magnetization (μB per atom): 0.000

Geometry as CIF:
```
data_Cd2InBr
_symmetry_space_group_name_H-M 'P 4/m m m'
_symmetry_Int_Tables_number 123
_symmetry_space_group_name_Hall '-P 4 2'
_cell_length_a 5.4031
_cell_length_b 5.4031
_cell_length_c 3.3225
_cell_angle_alpha 90.00
_cell_angle_beta 90.00
_cell_angle_gamma 90.00
loop_
_atom_site_label
_atom_site_type_symbol
_atom_site_fract_x
_atom_site_fract_y
_atom_site_fract_z
Cd1 Cd 0.0000 0.5000 0.0000
In1 In 0.0000 0.0000 0.5000
Br1 Br 0.5000 0.5000 0.5000
```

Version two
# Cd2InBr

A crystal of Cd2InBr relaxed with PBEsol (meta-GGA SCAN, Alexandria).

Computed properties:
Density (g/cm³): 7.1
DOS at the Fermi energy (states/eV/f.u.): 0.97
Total magnetization (μB per atom): 0.000

Geometry as CIF:
```
data_Cd2InBr
_symmetry_space_group_name_H-M 'P 4 m m'
_symmetry_Int_Tables_number 99
_cell_length_a 3.6147
_cell_length_b 3.6147
_cell_length_c 7.5334
_cell_angle_alpha 90.00
_cell_angle_beta 90.00
_cell_angle_gamma 90.00
loop_
_symmetry_equiv_pos_as_xyz
'x,y,z'
'-y,x,z'
'-x,-y,z'
'y,-x,z'
'-x,y,z'
'y,x,z'
'x,-y,z'
'-y,-x,z'
loop_
_atom_site_label
_atom_site_type_symbol
_atom_site_fract_x
_atom_site_fract_y
_atom_site_fract_z
Cd1 Cd 0.0000 0.0000 0.0000
Cd2 Cd 0.5000 0.5000 0.2207
In1 In 0.0000 0.0000 0.4583
Br1 Br 0.5000 0.5000 0.7597
```

Stability check: which of them is least stable? version one.

Version one
# CdIrBr

A crystal of CdIrBr relaxed with PBEsol (meta-GGA SCAN, Alexandria).

Computed properties:
Density (g/cm³): 11.7
DOS at the Fermi energy (states/eV/f.u.): 2.17
Total magnetization (μB per atom): 0.000

Geometry as CIF:
```
data_CdIrBr
_symmetry_space_group_name_H-M 'P -6 m 2'
_symmetry_Int_Tables_number 187
_symmetry_space_group_name_Hall 'P -6 2'
_cell_length_a 4.4672
_cell_length_b 4.4672
_cell_length_c 3.1608
_cell_angle_alpha 90.00
_cell_angle_beta 90.00
_cell_angle_gamma 120.00
loop_
_atom_site_label
_atom_site_type_symbol
_atom_site_fract_x
_atom_site_fract_y
_atom_site_fract_z
Cd1 Cd 0.0000 0.0000 0.0000
Ir1 Ir 0.3333 0.6667 0.5000
Br1 Br 0.6667 0.3333 0.5000
```

Version two
# CdIrBr

A crystal of CdIrBr relaxed with PBEsol (meta-GGA SCAN, Alexandria).

Computed properties:
Density (g/cm³): 10.2
DOS at the Fermi energy (states/eV/f.u.): 2.63
Total magnetization (μB per atom): 0.000

Geometry as CIF:
```
data_CdIrBr
_symmetry_space_group_name_H-M 'F -4 3 m'
_symmetry_Int_Tables_number 216
_symmetry_space_group_name_Hall 'F -4 2 3'
_cell_length_a 6.3003
_cell_length_b 6.3003
_cell_length_c 6.3003
_cell_angle_alpha 90.00
_cell_angle_beta 90.00
_cell_angle_gamma 90.00
loop_
_atom_site_label
_atom_site_type_symbol
_atom_site_fract_x
_atom_site_fract_y
_atom_site_fract_z
Cd1 Cd 0.0000 0.0000 0.0000
Ir1 Ir 0.2500 0.2500 0.7500
Br1 Br 0.0000 0.0000 0.5000
```

Stability check: which of them is least stable? version two.